Compound: Nd2HoSc
Source: Alexandria via LeMat-Bulk
Functional: PBE-GGA
Structure: relaxed

The structure in CIF format:
```
data_Nd2HoSc
_cell_length_a 3.5559
_cell_length_b 3.5559
_cell_length_c 34.0875
_cell_angle_alpha 90.00
_cell_angle_beta 90.00
_cell_angle_gamma 120.00
_space_group_name_H-M_alt 'R -3 m'
_space_group_IT_number 166
_space_group_name_Hall '-R 3 2"'
loop_
_atom_site_label
_atom_site_type_symbol
_atom_site_fract_x
_atom_site_fract_y
_atom_site_fract_z
_atom_site_occupancy
Nd1 Nd 0.0000 0.0000 0.2471 1
Ho1 Ho 0.0000 0.0000 0.0000 1
Sc1 Sc 0.0000 0.0000 0.5000 1
```

Values from the calculation:
- N(E_F): 13.35 states/eV/cell
- Magnetization: 0.00 μB per atom
- Energy: -5.066 eV/atom
- Formation energy: 0.046 eV/atom
- Energy relative to the lowest polymorph listed for this composition: 6 meV/atom
- Density: 6.65 g cm⁻³